(1)
An optimized crystal structure of DyPPtO, computed with PBE-GGA.

Unit cell a=4.570 b=4.016 c=6.929 alpha=90.00 beta=90.00 gamma=90.00
Fractional coordinates of all 8 atoms:
Dy 0.500 0.751 0.647
Dy 0.500 0.249 0.147
O 0.500 0.253 0.814
O 0.500 0.747 0.314
Pt 0.000 0.752 0.980
Pt 0.000 0.248 0.480
P 0.000 0.748 0.314
P 0.000 0.252 0.814

Output
- Energy: -0.2518 hartree per atom
- SG: No. 26

(2)
An optimized crystal structure of YTmSi2Os, computed with PBE-GGA.

Unit cell a=5.684 b=5.684 c=9.942 alpha=116.39 beta=116.39 gamma=43.52
Fractional coordinates of all 10 atoms:
Si 0.642 0.642 0.060
Si 0.358 0.358 0.940
Si 0.496 0.496 0.626
Si 0.504 0.504 0.374
Y 0.187 0.187 0.610
Y 0.813 0.813 0.390
Tm 0.006 0.006 0.177
Tm 0.994 0.994 0.823
Os 0.269 0.269 0.126
Os 0.731 0.731 0.874

Output
- Energy: -0.2728 hartree per atom
- SG: No. 12

(3)
An optimized crystal structure of HoEr2Tm3Te2Os, computed with PBE-GGA.

Unit cell a=4.032 b=8.183 c=8.183 alpha=119.44 beta=90.00 gamma=90.00
Fractional coordinates of all 9 atoms:
Tm 0.000 0.998 0.761
Tm 0.000 0.240 0.240
Tm 0.000 0.761 0.998
Te 0.000 0.333 0.666
Te 0.000 0.666 0.333
Er 0.500 0.000 0.386
Er 0.500 0.386 0.000
Ho 0.500 0.609 0.609
Os 0.500 0.006 0.006

Output
- Energy: -0.2089 hartree per atom
- SG: No. 38

(4)
An optimized crystal structure of Hf2Fe3Si, computed with PBE-GGA.

Unit cell a=4.941 b=4.941 c=7.940 alpha=90.00 beta=90.00 gamma=120.00
Site moments in Bohr magnetons follow the coordinates.
Fractional coordinates of all 12 atoms:
Fe 0.830 0.170 0.250  1.67
Fe 0.830 0.659 0.250  1.59
Fe 0.170 0.830 0.750  1.67
Fe 0.341 0.170 0.250  1.50
Fe 0.659 0.830 0.750  1.50
Fe 0.170 0.341 0.750  1.59
Hf 0.667 0.333 0.936  -0.32
Hf 0.333 0.667 0.064  -0.32
Hf 0.333 0.667 0.436  -0.33
Hf 0.667 0.333 0.564  -0.33
Si 0.000 0.000 0.500  -0.02
Si 0.000 0.000 0.000  -0.01

Output
- Energy: -0.3289 hartree per atom
- SG: No. 194

(5)
An optimized crystal structure of RbPrSeO, computed with PBE-GGA.

Unit cell a=7.790 b=7.790 c=7.790 alpha=29.57 beta=29.57 gamma=29.57
Fractional coordinates of all 4 atoms:
Se 0.765 0.765 0.765
Rb 0.995 0.995 0.995
Pr 0.515 0.515 0.515
O 0.225 0.225 0.225

Output
- Energy: -0.2046 hartree per atom
- SG: No. 160

(6)
An optimized crystal structure of CuBSb, computed with PBE-GGA.

Unit cell a=4.048 b=4.048 c=4.048 alpha=60.00 beta=60.00 gamma=60.00
Fractional coordinates of all 3 atoms:
Cu 0.250 0.250 0.250
Sb 0.750 0.750 0.750
B 0.000 0.000 0.000

Output
- Energy: -0.1486 hartree per atom
- SG: No. 216